(1)
# Pm6PrDy3 (GGA-PBE, relaxed)
data_Pm6PrDy3
_space_group_name_H-M_alt 'C m c 21'
_space_group_IT_number 36
_cell_length_a 9.7963
_cell_length_b 21.4202
_cell_length_c 6.4893
_cell_angle_alpha 90.00
_cell_angle_beta 90.00
_cell_angle_gamma 90.00
loop_
_space_group_symop_operation_xyz
'x,y,z'
'-x,-y,z+1/2'
'-x,y,z'
'x,-y,z+1/2'
'x+1/2,y+1/2,z'
'-x+1/2,-y+1/2,z+1/2'
'-x+1/2,y+1/2,z'
'x+1/2,-y+1/2,z+1/2'
loop_
_atom_site_label
_atom_site_fract_x
_atom_site_fract_y
_atom_site_fract_z
Pm1 0.0000 0.0138 0.0000
Pm2 0.0000 0.3007 0.0121
Pm3 0.1741 0.2821 0.5394
Pm4 0.1787 0.4410 0.7865
Pr1 0.0000 0.1568 0.2159
Dy1 0.0000 0.4189 0.3076
Dy2 0.1688 0.1277 0.6927
# **Mass density**: 7.31 g/cm3
# **Energy**: -183.4 eV/cell
# **Relative energy among the computed polymorphs**: 0.000 eV/atom
# **ΔH_f (0 K)**: 0.12 eV per atom
# **M_tot**: 0.00 μB per formula unit
# **Fermi-level density of states**: 1.4777 states/eV/atom



(2)
# LiLaSmAu (GGA-PBE, relaxed)
data_LiLaSmAu
_space_group_name_H-M_alt 'F -4 3 m'
_space_group_IT_number 216
_space_group_name_Hall 'F -4 2 3'
_cell_length_a 7.4956
_cell_length_b 7.4956
_cell_length_c 7.4956
_cell_angle_alpha 90.00
_cell_angle_beta 90.00
_cell_angle_gamma 90.00
loop_
_atom_site_label
_atom_site_fract_x
_atom_site_fract_y
_atom_site_fract_z
Li1 0.0000 0.0000 0.0000
La1 0.2500 0.2500 0.2500
Sm1 0.2500 0.2500 0.7500
Au1 0.0000 0.0000 0.5000
# **Mass density**: 7.78 g/cm3
# **Energy**: -64.7 eV/cell
# **ΔH_f (0 K)**: -0.33 eV per atom
# **M_tot**: 0.00 μB per formula unit
# **Fermi-level density of states**: 1.2924 states/eV/atom



(3)
# Pu3HAu (GGA-PBE, relaxed)
data_Pu3HAu
_space_group_name_H-M_alt 'P m -3 m'
_space_group_IT_number 221
_space_group_name_Hall '-P 4 2 3'
_cell_length_a 4.7280
_cell_length_b 4.7280
_cell_length_c 4.7280
_cell_angle_alpha 90.00
_cell_angle_beta 90.00
_cell_angle_gamma 90.00
loop_
_atom_site_label
_atom_site_fract_x
_atom_site_fract_y
_atom_site_fract_z
Pu1 0.0000 0.0000 0.5000
H1 0.0000 0.0000 0.0000
Au1 0.5000 0.5000 0.5000
# **Mass density**: 14.61 g/cm3
# **Energy**: -50.5 eV/cell
# **Relative energy among the computed polymorphs**: 0.000 eV/atom
# **M_tot**: 18.84 μB per formula unit
# **Fermi-level density of states**: 3.3586 states/eV/atom



(4)
# AcSmIr (GGA-PBE, relaxed)
data_AcSmIr
_space_group_name_H-M_alt 'P 3 m 1'
_space_group_IT_number 156
_cell_length_a 4.3037
_cell_length_b 4.3037
_cell_length_c 6.6220
_cell_angle_alpha 90.00
_cell_angle_beta 90.00
_cell_angle_gamma 120.00
loop_
_space_group_symop_operation_xyz
'x,y,z'
'-y,x-y,z'
'-x+y,-x,z'
'-y,-x,z'
'-x+y,y,z'
'x,x-y,z'
loop_
_atom_site_label
_atom_site_fract_x
_atom_site_fract_y
_atom_site_fract_z
Ac1 0.0000 0.0000 0.0000
Sm1 0.6667 0.3333 0.5499
Ir1 0.3333 0.6667 0.7583
# **Mass density**: 8.90 g/cm3
# **Energy**: -19.3 eV/cell
# **Relative energy among the computed polymorphs**: 0.021 eV/atom
# **ΔH_f (0 K)**: -0.53 eV per atom
# **M_tot**: 0.00 μB per formula unit
# **Fermi-level density of states**: 0.6762 states/eV/atom



(5)
# Co3Ge2H (GGA-PBE, relaxed)
data_Co3Ge2H
_space_group_name_H-M_alt 'C 1 2/c 1'
_space_group_IT_number 15
_cell_length_a 10.8871
_cell_length_b 4.5942
_cell_length_c 5.3869
_cell_angle_alpha 90.00
_cell_angle_beta 104.49
_cell_angle_gamma 90.00
loop_
_space_group_symop_operation_xyz
'x,y,z'
'-x,-y,-z'
'-x,y,-z+1/2'
'x,-y,z+1/2'
'x+1/2,y+1/2,z'
'-x+1/2,-y+1/2,-z'
'-x+1/2,y+1/2,-z+1/2'
'x+1/2,-y+1/2,z+1/2'
loop_
_atom_site_label
_atom_site_fract_x
_atom_site_fract_y
_atom_site_fract_z
Co1 0.0000 0.0745 0.2500
Co2 0.1151 0.4965 0.0560
Ge1 0.1913 0.0017 0.5964
H1 0.0000 0.4533 0.2500
# **Mass density**: 8.23 g/cm3
# **Energy**: -134.4 eV/cell
# **M_tot**: 0.49 μB per formula unit
# **Fermi-level density of states**: 0.7864 states/eV/atom



(6)
# CsTlTc2 (GGA-PBE, relaxed)
data_CsTlTc2
_space_group_name_H-M_alt 'F m -3 m'
_space_group_IT_number 225
_space_group_name_Hall '-F 4 2 3'
_cell_length_a 7.1649
_cell_length_b 7.1649
_cell_length_c 7.1649
_cell_angle_alpha 90.00
_cell_angle_beta 90.00
_cell_angle_gamma 90.00
loop_
_atom_site_label
_atom_site_fract_x
_atom_site_fract_y
_atom_site_fract_z
Cs1 0.0000 0.0000 0.0000
Tl1 0.0000 0.0000 0.5000
Tc1 0.2500 0.2500 0.2500
# **Mass density**: 9.63 g/cm3
# **Energy**: -67.1 eV/cell
# **ΔH_f (0 K)**: 1.80 eV per atom
# **M_tot**: 5.12 μB per formula unit
# **Fermi-level density of states**: 1.1640 states/eV/atom



(7)
# EuTlSbAu (GGA-PBE, relaxed)
data_EuTlSbAu
_space_group_name_H-M_alt 'F -4 3 m'
_space_group_IT_number 216
_space_group_name_Hall 'F -4 2 3'
_cell_length_a 7.6139
_cell_length_b 7.6139
_cell_length_c 7.6139
_cell_angle_alpha 90.00
_cell_angle_beta 90.00
_cell_angle_gamma 90.00
loop_
_atom_site_label
_atom_site_fract_x
_atom_site_fract_y
_atom_site_fract_z
Eu1 0.0000 0.0000 0.0000
Tl1 0.0000 0.0000 0.5000
Sb1 0.2500 0.2500 0.7500
Au1 0.2500 0.2500 0.2500
# **Mass density**: 10.16 g/cm3
# **Energy**: -86.7 eV/cell
# **Energy relative to the elements, uncorrected**: -409.7 meV/atom
# **M_tot**: 6.85 μB per formula unit
# **Fermi-level density of states**: 0.8131 states/eV/atom



(8)
# PuZrPa2As4 (GGA-PBE, relaxed)
data_PuZrPa2As4
_space_group_name_H-M_alt 'P 1 2/m 1'
_space_group_IT_number 10
_cell_length_a 6.9573
_cell_length_b 4.0668
_cell_length_c 7.0321
_cell_angle_alpha 90.00
_cell_angle_beta 109.64
_cell_angle_gamma 90.00
loop_
_space_group_symop_operation_xyz
'x,y,z'
'-x,-y,-z'
'-x,y,-z'
'x,-y,z'
loop_
_atom_site_label
_atom_site_fract_x
_atom_site_fract_y
_atom_site_fract_z
Pu1 0.0000 0.0000 0.0000
Zr1 0.0000 0.5000 0.5000
Pa1 0.5000 0.0000 0.5000
Pa2 0.5000 0.5000 0.0000
As1 0.2420 0.0000 0.7414
As2 0.2458 0.5000 0.2552
# **Mass density**: 9.72 g/cm3
# **Energy**: -69.1 eV/cell
# **ΔH_f (0 K)**: -1.08 eV per atom
# **M_tot**: 5.40 μB per formula unit
# **Fermi-level density of states**: 1.5083 states/eV/atom



(9)
# NdAl3CuNi (GGA-PBE, relaxed)
data_NdAl3CuNi
_space_group_name_H-M_alt 'C m c m'
_space_group_IT_number 63
_space_group_name_Hall '-C 2c 2'
_cell_length_a 6.1295
_cell_length_b 12.0528
_cell_length_c 5.8358
_cell_angle_alpha 90.00
_cell_angle_beta 90.00
_cell_angle_gamma 90.00
loop_
_atom_site_label
_atom_site_fract_x
_atom_site_fract_y
_atom_site_fract_z
Nd1 0.0000 0.2264 0.2500
Al1 0.0000 0.3566 0.7500
Al2 0.2127 0.0000 0.0000
Cu1 0.0000 0.1440 0.7500
Ni1 0.0000 0.4422 0.2500
# **Mass density**: 5.35 g/cm3
# **Energy**: -111.0 eV/cell
# **ΔH_f (0 K)**: -0.31 eV per atom
# **M_tot**: 0.00 μB per formula unit
# **Fermi-level density of states**: 0.4944 states/eV/atom



(10)
# La3Ni4P4 (GGA-PBE, relaxed)
data_La3Ni4P4
_space_group_name_H-M_alt 'P -1'
_space_group_IT_number 2
_cell_length_a 4.0016
_cell_length_b 4.1187
_cell_length_c 11.9547
_cell_angle_alpha 99.92
_cell_angle_beta 99.62
_cell_angle_gamma 90.02
loop_
_space_group_symop_operation_xyz
'x,y,z'
'-x,-y,-z'
loop_
_atom_site_label
_atom_site_fract_x
_atom_site_fract_y
_atom_site_fract_z
La1 0.0000 0.0000 0.0000
La2 0.3490 0.8490 0.6985
Ni1 0.0965 0.5971 0.1931
Ni2 0.2492 0.2494 0.4984
P1 0.1972 0.6973 0.3941
P2 0.4481 0.4482 0.8963
# **Mass density**: 6.73 g/cm3
# **Energy**: -71.6 eV/cell
# **ΔH_f (0 K)**: -1.10 eV per atom
# **M_tot**: 0.00 μB per formula unit
# **Fermi-level density of states**: 0.6085 states/eV/atom



(11)
# LaPr2P3 (GGA-PBE, relaxed)
data_LaPr2P3
_space_group_name_H-M_alt 'I m m m'
_space_group_IT_number 71
_space_group_name_Hall '-I 2 2'
_cell_length_a 4.2325
_cell_length_b 5.9762
_cell_length_c 12.6813
_cell_angle_alpha 90.00
_cell_angle_beta 90.00
_cell_angle_gamma 90.00
loop_
_atom_site_label
_atom_site_fract_x
_atom_site_fract_y
_atom_site_fract_z
La1 0.0000 0.0000 0.0000
Pr1 0.0000 0.0000 0.3333
P1 0.0000 0.5000 0.0000
P2 0.0000 0.5000 0.3322
# **Mass density**: 5.32 g/cm3
# **Energy**: -79.9 eV/cell
# **ΔH_f (0 K)**: -1.54 eV per atom
# **M_tot**: 0.00 μB per formula unit
# **Fermi-level density of states**: 0.0975 states/eV/atom